An optimized crystal structure of BaLaRe. Source: Alexandria, functional PBE.

Summary:
* energy above the lowest structure with this stoichiometry: 0.247 eV/atom
* SG: P3m1

Cell lengths 3.7190, 3.7190, 8.1952 Å; angles 90.00, 90.00, 120.00 degrees
Closest atoms and distances in Å follow each position.
Positions (direct):
Ba 0.0000 0.0000 0.0000  3 Re 3.21
La 0.6667 0.3333 0.4740  3 Re 2.88
Re 0.3333 0.6667 0.7084  3 La 2.88, 3 Ba 3.21